1.
Pr3In7Ni4: optimized geometry, PBE.

Lattice parameters (Å, degrees): 8.5902 8.5902 10.0026 122.77 122.77 29.85
Fractional positions:
1 Pr 0.0000 0.0000 0.0000
2 Pr 0.3116 0.3116 0.3015
3 Pr 0.6884 0.6884 0.6985
4 In 0.0000 0.0000 0.5000
5 In 0.1644 0.1644 0.4247
6 In 0.3178 0.3178 0.9688
7 In 0.4933 0.4933 0.7219
8 In 0.5067 0.5067 0.2781
9 In 0.6822 0.6822 0.0312
10 In 0.8356 0.8356 0.5753
11 Ni 0.1184 0.1184 0.8404
12 Ni 0.3347 0.3347 0.7223
13 Ni 0.6653 0.6653 0.2777
14 Ni 0.8816 0.8816 0.1596

Properties
Formation energy   -0.37 eV per atom
Size of the total moment   0.00 Bohr magnetons per cell
Volume   21.7 A^3/atom
Space group   No. 12
Fermi-level density of states   0.560 states/eV/atom



2.
LaCdOs2: optimized geometry, PBE.

Lattice parameters (Å, degrees): 10.0886 10.0886 10.0886 154.09 154.09 36.96
Fractional positions:
1 La 0.0000 0.0000 0.0000
2 La 0.7500 0.2500 0.5000
3 Cd 0.2500 0.7500 0.5000
4 Cd 0.5000 0.5000 0.0000
5 Os 0.2689 0.6250 0.1439
6 Os 0.3750 0.5189 0.6439
7 Os 0.4811 0.1250 0.8561
8 Os 0.8750 0.7311 0.3561

Properties
Formation energy   0.60 eV per atom
Size of the total moment   0.00 Bohr magnetons per cell
Volume   24.5 A^3/atom
Space group   No. 122
Fermi-level density of states   0.855 states/eV/atom



3.
Mo2PtN: optimized geometry, PBE.

Lattice parameters (Å, degrees): 7.5011 7.5011 7.5011 22.02 22.02 22.02
Fractional positions:
1 Mo 0.0000 0.0000 0.0000
2 Mo 0.2066 0.2066 0.2066
3 Pt 0.4400 0.4400 0.4400
4 N 0.6021 0.6021 0.6021

Properties
Size of the total moment   0.00 Bohr magnetons per cell
Formation energy (no corrections)   -0.22 eV per atom
Volume   13.0 A^3/atom
Space group   No. 160
Fermi-level density of states   0.869 states/eV/atom